[1]
First-principles (PBE-GGA) data for a relaxed PmY4Al2 crystal, as listed in Alexandria.

For the density of states at the Fermi level, the calculation gives 5.1 states/eV/f.u. For the distance to the lowest polymorph of the same formula, the calculation gives 0.000 eV/atom. For the total magnetic moment, the calculation gives 0.00 μB per formula unit. As for the formation energy: -143.4 kJ/mol of formula units. Its total energy is -5.65 eV per atom.

The structure belongs to space group R-3m (No. 166, hexagonal axes); the cell edges are 5.3362, 5.3362 and 23.5624 Å and the angles 90.00°, 90.00° and 120.00°. The inequivalent atoms are Pm at (0.0000, 0.0000, 0.0000), Y at (0.0000, 0.0000, 0.1535), Y at (0.0000, 0.0000, 0.4176) and Al at (0.0000, 0.0000, 0.2812).

***

[2]
First-principles (PBE-GGA) data for a relaxed CdOs5 crystal, as listed in Alexandria.

For the density of states at the Fermi level, the calculation gives 6.4 states/eV/f.u. For the distance to the lowest polymorph of the same formula, the calculation gives 0.063 eV/atom. For the total magnetic moment, the calculation gives 0.00 μB per formula unit. As for the formation energy: 231.2 kJ/mol of formula units. Its total energy is -9.11 eV per atom.

The structure belongs to space group Amm2 (No. 38); the cell edges are 4.449, 2.788 and 14.587 Å and the angles 90.00°, 90.00° and 90.00°. The inequivalent atoms are Cd at (0.000, 0.000, 0.000), Os at (0.000, 0.000, 0.327), Os at (0.000, 0.000, 0.674), Os at (0.500, 0.000, 0.223), Os at (0.500, 0.000, 0.563) and Os at (0.500, 0.000, 0.887).

***

[3]
First-principles (PBE-GGA) data for a relaxed ScZnPd crystal, as listed in Alexandria.

For the density of states at the Fermi level, the calculation gives 2.0 states/eV/f.u. For the total magnetic moment, the calculation gives 0.00 μB per formula unit. As for the formation energy: -178.6 kJ/mol of formula units. Its total energy is -4.88 eV per atom.

The structure belongs to space group P-6m2 (No. 187); the cell edges are 4.4330, 4.4330 and 3.0571 Å and the angles 90.00°, 90.00° and 120.00°. The inequivalent atoms are Sc at (0.0000, 0.0000, 0.0000), Zn at (0.3333, 0.6667, 0.5000) and Pd at (0.6667, 0.3333, 0.5000).